[1]
Density functional theory data (GGA-PBE) for an optimized crystal structure of La2NdSm3P6.

Lattice parameters (Å, degrees): 18.191 4.175 8.349 90.00 103.29 90.00
Space group C2/m (No. 12)
One atom of each set of equivalent atoms:
La: 0.166 0.000 0.332 (multiplicity 4)
Nd: 0.000 0.500 0.000 (multiplicity 2)
Sm: 0.000 0.500 0.500 (multiplicity 2)
Sm: 0.167 0.000 0.834 (multiplicity 4)
P: 0.002 0.000 0.749 (multiplicity 4)
P: 0.165 0.500 0.588 (multiplicity 4)
P: 0.167 0.500 0.078 (multiplicity 4)

Computed properties:
As for the formation energy: -1809 kJ/mol of formula units. The raw total energy comes out at -6.67 eV/atom.

---

[2]
Density functional theory data (GGA-PBE) for an optimized crystal structure of La3TbNd2P6.

Lattice parameters (Å, degrees): 7.272 12.596 7.276 90.00 109.45 90.00
Space group C2/m (No. 12)
One atom of each set of equivalent atoms:
La: 0.000 0.000 0.000 (multiplicity 2)
La: 0.000 0.333 0.000 (multiplicity 4)
Tb: 0.000 0.500 0.500 (multiplicity 2)
Nd: 0.000 0.166 0.500 (multiplicity 4)
P: 0.245 0.336 0.743 (multiplicity 8)
P: 0.248 0.500 0.257 (multiplicity 4)

Computed properties:
As for the formation energy: -1809 kJ/mol of formula units. The raw total energy comes out at -6.68 eV/atom.

---

[3]
Density functional theory data (GGA-PBE) for an optimized crystal structure of LaTb3Nd2P6.

Lattice parameters (Å, degrees): 7.131 12.349 7.129 90.00 109.46 90.00
Space group C2/m (No. 12)
One atom of each set of equivalent atoms:
La: 0.000 0.000 0.000 (multiplicity 2)
Tb: 0.000 0.166 0.500 (multiplicity 4)
Tb: 0.000 0.500 0.500 (multiplicity 2)
Nd: 0.000 0.333 0.000 (multiplicity 4)
P: 0.246 0.332 0.740 (multiplicity 8)
P: 0.249 0.000 0.740 (multiplicity 4)

Computed properties:
As for the formation energy: -1821 kJ/mol of formula units. The raw total energy comes out at -6.64 eV/atom.

---

[4]
Density functional theory data (GGA-PBE) for an optimized crystal structure of La2TbNdP4.

Lattice parameters (Å, degrees): 7.250 4.189 7.253 90.00 109.44 90.00
Space group P2/m (No. 10)
One atom of each set of equivalent atoms:
La: 0.000 0.000 0.000 (multiplicity 1)
La: 0.500 0.500 0.000 (multiplicity 1)
Tb: 0.000 0.500 0.500 (multiplicity 1)
Nd: 0.500 0.000 0.500 (multiplicity 1)
P: 0.243 0.000 0.740 (multiplicity 2)
P: 0.249 0.500 0.257 (multiplicity 2)

Computed properties:
As for the formation energy: -1208 kJ/mol of formula units. The raw total energy comes out at -6.68 eV/atom.

---

[5]
Density functional theory data (GGA-PBE) for an optimized crystal structure of LaTbNd2P4.

Lattice parameters (Å, degrees): 7.205 4.164 7.205 90.00 109.42 90.00
Space group P2/m (No. 10)
One atom of each set of equivalent atoms:
La: 0.000 0.000 0.000 (multiplicity 1)
Tb: 0.500 0.500 0.000 (multiplicity 1)
Nd: 0.000 0.500 0.500 (multiplicity 1)
Nd: 0.500 0.000 0.500 (multiplicity 1)
P: 0.256 0.500 0.250 (multiplicity 2)
P: 0.257 0.000 0.754 (multiplicity 2)

Computed properties:
As for the formation energy: -1199 kJ/mol of formula units. The raw total energy comes out at -6.65 eV/atom.

---

[6]
Density functional theory data (GGA-PBE) for an optimized crystal structure of LaTb2Nd3P6.

Lattice parameters (Å, degrees): 7.173 12.423 7.172 90.00 109.47 90.00
Space group C2/m (No. 12)
One atom of each set of equivalent atoms:
La: 0.000 0.000 0.000 (multiplicity 2)
Tb: 0.000 0.333 0.000 (multiplicity 4)
Nd: 0.000 0.166 0.500 (multiplicity 4)
Nd: 0.000 0.500 0.500 (multiplicity 2)
P: 0.242 0.500 0.245 (multiplicity 4)
P: 0.248 0.330 0.754 (multiplicity 8)

Computed properties:
As for the formation energy: -1803 kJ/mol of formula units. The raw total energy comes out at -6.64 eV/atom.

---

[7]
Density functional theory data (GGA-PBE) for an optimized crystal structure of LaTb2NdP4.

Lattice parameters (Å, degrees): 7.143 4.127 7.145 90.00 109.45 90.00
Space group P2/m (No. 10)
One atom of each set of equivalent atoms:
La: 0.000 0.000 0.000 (multiplicity 1)
Tb: 0.500 0.000 0.500 (multiplicity 1)
Tb: 0.500 0.500 0.000 (multiplicity 1)
Nd: 0.000 0.500 0.500 (multiplicity 1)
P: 0.260 0.000 0.751 (multiplicity 2)
P: 0.261 0.500 0.256 (multiplicity 2)

Computed properties:
As for the formation energy: -1216 kJ/mol of formula units. The raw total energy comes out at -6.65 eV/atom.

---

[8]
Density functional theory data (GGA-PBE) for an optimized crystal structure of LaNdTeP.

Lattice parameters (Å, degrees): 4.2635 4.2635 22.8019 90.00 90.00 120.00
Space group R3m (No. 160, hexagonal axes)
One atom of each set of equivalent atoms:
La: 0.0000 0.0000 0.0000 (multiplicity 3)
Nd: 0.0000 0.0000 0.1923 (multiplicity 3)
Te: 0.0000 0.0000 0.4305 (multiplicity 3)
P: 0.0000 0.0000 0.5960 (multiplicity 3)

Computed properties:
The uncorrected formation energy is -1.57 eV per atom. The raw total energy comes out at -6.13 eV/atom.

---

[9]
Density functional theory data (GGA-PBE) for an optimized crystal structure of LaNd2ThP4.

Lattice parameters (Å, degrees): 7.236 4.187 7.256 90.00 109.43 90.00
Space group P2/m (No. 10)
One atom of each set of equivalent atoms:
La: 0.000 0.000 0.000 (multiplicity 1)
Nd: 0.500 0.000 0.500 (multiplicity 1)
Nd: 0.500 0.500 0.000 (multiplicity 1)
Th: 0.000 0.500 0.500 (multiplicity 1)
P: 0.248 0.000 0.745 (multiplicity 2)
P: 0.250 0.500 0.255 (multiplicity 2)

Computed properties:
As for the formation energy: -1218 kJ/mol of formula units. The raw total energy comes out at -7.02 eV/atom.

---

[10]
Density functional theory data (GGA-PBE) for an optimized crystal structure of LaNd2Th3P6.

Lattice parameters (Å, degrees): 7.234 12.511 7.220 90.00 109.51 90.00
Space group C2/m (No. 12)
One atom of each set of equivalent atoms:
La: 0.000 0.000 0.000 (multiplicity 2)
Nd: 0.000 0.333 0.000 (multiplicity 4)
Th: 0.000 0.166 0.500 (multiplicity 4)
Th: 0.000 0.500 0.500 (multiplicity 2)
P: 0.247 0.332 0.743 (multiplicity 8)
P: 0.250 0.000 0.744 (multiplicity 4)

Computed properties:
As for the formation energy: -1820 kJ/mol of formula units. The raw total energy comes out at -7.34 eV/atom.

---

[11]
Density functional theory data (GGA-PBE) for an optimized crystal structure of LaNd3Th2P6.

Lattice parameters (Å, degrees): 7.237 12.546 7.216 90.00 109.52 90.00
Space group C2/m (No. 12)
One atom of each set of equivalent atoms:
La: 0.000 0.000 0.000 (multiplicity 2)
Nd: 0.000 0.165 0.500 (multiplicity 4)
Nd: 0.000 0.500 0.500 (multiplicity 2)
Th: 0.000 0.333 0.000 (multiplicity 4)
P: 0.243 0.500 0.247 (multiplicity 4)
P: 0.248 0.331 0.752 (multiplicity 8)

Computed properties:
As for the formation energy: -1827 kJ/mol of formula units. The raw total energy comes out at -7.12 eV/atom.

---

[12]
Density functional theory data (GGA-PBE) for an optimized crystal structure of La3NdTh2P6.

Lattice parameters (Å, degrees): 7.281 12.619 7.300 90.00 109.40 90.00
Space group C2/m (No. 12)
One atom of each set of equivalent atoms:
La: 0.000 0.000 0.000 (multiplicity 2)
La: 0.000 0.334 0.000 (multiplicity 4)
Nd: 0.000 0.500 0.500 (multiplicity 2)
Th: 0.000 0.167 0.500 (multiplicity 4)
P: 0.243 0.000 0.741 (multiplicity 4)
P: 0.249 0.332 0.741 (multiplicity 8)

Computed properties:
As for the formation energy: -1845 kJ/mol of formula units. The raw total energy comes out at -7.16 eV/atom.

---

[13]
Density functional theory data (GGA-PBE) for an optimized crystal structure of La4NdTh3P8.

Lattice parameters (Å, degrees): 8.4062 8.4062 20.6618 90.00 90.00 120.00
Space group R-3m (No. 166, hexagonal axes)
One atom of each set of equivalent atoms:
La: 0.0000 0.0000 0.0000 (multiplicity 3)
La: 0.0000 0.5000 0.0000 (multiplicity 9)
Nd: 0.0000 0.0000 0.5000 (multiplicity 3)
Th: 0.0000 0.5000 0.5000 (multiplicity 9)
P: 0.0000 0.0000 0.2467 (multiplicity 6)
P: 0.0028 0.5014 0.7529 (multiplicity 18)

Computed properties:
As for the formation energy: -2456 kJ/mol of formula units. The raw total energy comes out at -7.22 eV/atom.

---

[14]
Density functional theory data (GGA-PBE) for an optimized crystal structure of La2NdThP4.

Lattice parameters (Å, degrees): 7.281 4.210 7.305 90.00 109.39 90.00
Space group P2/m (No. 10)
One atom of each set of equivalent atoms:
La: 0.000 0.000 0.000 (multiplicity 1)
La: 0.500 0.500 0.000 (multiplicity 1)
Nd: 0.000 0.500 0.500 (multiplicity 1)
Th: 0.500 0.000 0.500 (multiplicity 1)
P: 0.251 0.000 0.743 (multiplicity 2)
P: 0.256 0.500 0.259 (multiplicity 2)

Computed properties:
As for the formation energy: -1227 kJ/mol of formula units. The raw total energy comes out at -7.05 eV/atom.

---

[15]
Density functional theory data (GGA-PBE) for an optimized crystal structure of La3NdTm2P6.

Lattice parameters (Å, degrees): 7.189 12.452 7.188 90.00 109.48 90.00
Space group C2/m (No. 12)
One atom of each set of equivalent atoms:
La: 0.000 0.000 0.000 (multiplicity 2)
La: 0.000 0.334 0.000 (multiplicity 4)
Nd: 0.000 0.500 0.500 (multiplicity 2)
Tm: 0.000 0.167 0.500 (multiplicity 4)
P: 0.238 0.000 0.736 (multiplicity 4)
P: 0.249 0.330 0.737 (multiplicity 8)

Computed properties:
As for the formation energy: -1803 kJ/mol of formula units. The raw total energy comes out at -6.64 eV/atom.

---

[16]
Density functional theory data (GGA-PBE) for an optimized crystal structure of LaNdTm2P4.

Lattice parameters (Å, degrees): 7.069 4.089 7.081 90.00 109.48 90.00
Space group P2/m (No. 10)
One atom of each set of equivalent atoms:
La: 0.000 0.000 0.000 (multiplicity 1)
Nd: 0.000 0.500 0.500 (multiplicity 1)
Tm: 0.500 0.000 0.500 (multiplicity 1)
Tm: 0.500 0.500 0.000 (multiplicity 1)
P: 0.265 0.000 0.753 (multiplicity 2)
P: 0.266 0.500 0.257 (multiplicity 2)

Computed properties:
As for the formation energy: -1206 kJ/mol of formula units. The raw total energy comes out at -6.60 eV/atom.

---

[17]
Density functional theory data (GGA-PBE) for an optimized crystal structure of La4Nd3UP8.

Lattice parameters (Å, degrees): 8.3688 8.3688 20.5591 90.00 90.00 120.00
Space group R-3m (No. 166, hexagonal axes)
One atom of each set of equivalent atoms:
La: 0.0000 0.0000 0.0000 (multiplicity 3)
La: 0.0000 0.5000 0.0000 (multiplicity 9)
Nd: 0.0000 0.5000 0.5000 (multiplicity 9)
U: 0.0000 0.0000 0.5000 (multiplicity 3)
P: 0.0000 0.0000 0.2487 (multiplicity 6)
P: 0.0113 0.5056 0.2456 (multiplicity 18)

Computed properties:
As for the formation energy: -2276 kJ/mol of formula units. The raw total energy comes out at -7.01 eV/atom.

---

[18]
Density functional theory data (GGA-PBE) for an optimized crystal structure of La2NdUP4.

Lattice parameters (Å, degrees): 7.185 4.137 7.219 90.00 109.16 90.00
Space group P2/m (No. 10)
One atom of each set of equivalent atoms:
La: 0.000 0.000 0.000 (multiplicity 1)
La: 0.500 0.500 0.000 (multiplicity 1)
Nd: 0.000 0.500 0.500 (multiplicity 1)
U: 0.500 0.000 0.500 (multiplicity 1)
P: 0.258 0.000 0.736 (multiplicity 2)
P: 0.266 0.500 0.269 (multiplicity 2)

Computed properties:
As for the formation energy: -1078 kJ/mol of formula units. The raw total energy comes out at -7.34 eV/atom.

---

[19]
Density functional theory data (GGA-PBE) for an optimized crystal structure of La2NdYP4.

Lattice parameters (Å, degrees): 7.244 4.186 7.247 90.00 109.45 90.00
Space group P2/m (No. 10)
One atom of each set of equivalent atoms:
La: 0.000 0.000 0.000 (multiplicity 1)
La: 0.500 0.500 0.000 (multiplicity 1)
Nd: 0.000 0.500 0.500 (multiplicity 1)
Y: 0.500 0.000 0.500 (multiplicity 1)
P: 0.252 0.000 0.743 (multiplicity 2)
P: 0.257 0.500 0.260 (multiplicity 2)

Computed properties:
As for the formation energy: -1211 kJ/mol of formula units. The raw total energy comes out at -6.91 eV/atom.

---

[20]
Density functional theory data (GGA-PBE) for an optimized crystal structure of La3NdY2P6.

Lattice parameters (Å, degrees): 7.226 12.516 7.226 90.00 109.47 90.00
Space group C2/m (No. 12)
One atom of each set of equivalent atoms:
La: 0.000 0.000 0.000 (multiplicity 2)
La: 0.000 0.334 0.000 (multiplicity 4)
Nd: 0.000 0.500 0.500 (multiplicity 2)
Y: 0.000 0.167 0.500 (multiplicity 4)
P: 0.242 0.000 0.739 (multiplicity 4)
P: 0.249 0.331 0.740 (multiplicity 8)

Computed properties:
As for the formation energy: -1825 kJ/mol of formula units. The raw total energy comes out at -6.99 eV/atom.

---

[21]
Density functional theory data (GGA-PBE) for an optimized crystal structure of LaNd2YP4.

Lattice parameters (Å, degrees): 7.198 4.161 7.201 90.00 109.41 90.00
Space group P2/m (No. 10)
One atom of each set of equivalent atoms:
La: 0.000 0.000 0.000 (multiplicity 1)
Nd: 0.000 0.500 0.500 (multiplicity 1)
Nd: 0.500 0.000 0.500 (multiplicity 1)
Y: 0.500 0.500 0.000 (multiplicity 1)
P: 0.256 0.500 0.250 (multiplicity 2)
P: 0.257 0.000 0.755 (multiplicity 2)

Computed properties:
As for the formation energy: -1201 kJ/mol of formula units. The raw total energy comes out at -6.88 eV/atom.

---

[22]
Density functional theory data (GGA-PBE) for an optimized crystal structure of LaNd3Y2P6.

Lattice parameters (Å, degrees): 7.166 12.411 7.165 90.00 109.47 90.00
Space group C2/m (No. 12)
One atom of each set of equivalent atoms:
La: 0.000 0.000 0.000 (multiplicity 2)
Nd: 0.000 0.166 0.500 (multiplicity 4)
Nd: 0.000 0.500 0.500 (multiplicity 2)
Y: 0.000 0.333 0.000 (multiplicity 4)
P: 0.241 0.500 0.245 (multiplicity 4)
P: 0.248 0.330 0.754 (multiplicity 8)

Computed properties:
As for the formation energy: -1808 kJ/mol of formula units. The raw total energy comes out at -6.95 eV/atom.

---

no.,ρ (g cm⁻³)
1,5.70
2,5.55
3,6.12
4,5.63
5,5.78
6,5.93
7,6.06
8,6.13
9,6.27
10,7.06
11,6.57
12,6.36
13,6.48
14,6.12
15,5.94
16,6.41
17,5.89
18,6.42
19,5.09
20,4.98
21,5.23
22,5.17